The following is a PBE calculation of an optimized crystal structure of AcNd3F, from the Alexandria database.

Unit cell a=5.306 b=5.306 c=5.306 alpha=90.00 beta=90.00 gamma=90.00
Atoms (fractional coordinates):
Ac 0.000 0.000 0.000
Nd 0.000 0.500 0.500
Nd 0.500 0.000 0.500
Nd 0.500 0.500 0.000
F 0.500 0.500 0.500

Values from the calculation:
DFT total energy ... -0.368 Ry per atom